Model a:
{"formula": "Dy3Y2Tm8", "functional": "PBE", "state": "relaxed", "lattice_angstrom": [[3.766, -10.125, 0.000], [3.766, 10.125, 0.000], [0.000, 0.000, 5.516]], "species": ["Dy", "Dy", "Dy", "Y", "Y", "Tm", "Tm", "Tm", "Tm", "Tm", "Tm", "Tm", "Tm"], "fractional_positions": [[0.000, 0.000, 0.000], [0.286, 0.286, 0.500], [0.714, 0.714, 0.500], [0.241, 0.759, 0.000], [0.759, 0.241, 0.000], [0.131, 0.869, 0.500], [0.179, 0.396, 0.000], [0.336, 0.664, 0.500], [0.396, 0.179, 0.000], [0.604, 0.821, 0.000], [0.664, 0.336, 0.500], [0.821, 0.604, 0.000], [0.869, 0.131, 0.500]], "volume_a3_per_atom": 32.36}

---

Model b:
{"formula": "Dy3Y2Tm8", "functional": "PBE", "state": "relaxed", "lattice_angstrom": [[-2.766, 3.369, 11.035], [2.766, -3.369, 11.035], [2.766, 3.369, -11.035]], "species": ["Dy", "Dy", "Dy", "Y", "Y", "Tm", "Tm", "Tm", "Tm", "Tm", "Tm", "Tm", "Tm"], "fractional_positions": [[0.000, 0.000, 0.000], [0.266, 0.500, 0.766], [0.734, 0.500, 0.234], [0.277, 0.777, 0.500], [0.723, 0.223, 0.500], [0.109, 0.348, 0.761], [0.184, 0.184, 0.000], [0.413, 0.652, 0.761], [0.425, 0.925, 0.500], [0.575, 0.075, 0.500], [0.587, 0.348, 0.239], [0.816, 0.816, 0.000], [0.891, 0.652, 0.239]], "volume_a3_per_atom": 31.63}

---

The least stable of them is model a.

---

Model a:
{"formula": "Dy3Y2Tm6", "functional": "PBE", "state": "relaxed", "lattice_angstrom": [[1.760, 1.016, 31.513], [-1.760, 1.016, 31.513], [0.000, -2.033, 31.513]], "species": ["Dy", "Dy", "Dy", "Y", "Y", "Tm", "Tm", "Tm", "Tm", "Tm", "Tm"], "fractional_positions": [[0.000, 0.000, 0.000], [0.273, 0.273, 0.273], [0.727, 0.727, 0.727], [0.455, 0.455, 0.455], [0.545, 0.545, 0.545], [0.091, 0.091, 0.091], [0.182, 0.182, 0.182], [0.364, 0.364, 0.364], [0.636, 0.636, 0.636], [0.818, 0.818, 0.818], [0.909, 0.909, 0.909]], "volume_a3_per_atom": 30.76}

---

Model b:
{"formula": "Dy3Y2Tm6", "functional": "PBE", "state": "relaxed", "lattice_angstrom": [[-2.337, 2.337, 16.524], [2.337, -2.337, 16.524], [2.337, 2.337, -16.524]], "species": ["Dy", "Dy", "Dy", "Y", "Y", "Tm", "Tm", "Tm", "Tm", "Tm", "Tm"], "fractional_positions": [[0.000, 0.000, 0.000], [0.201, 0.201, 0.000], [0.799, 0.799, 0.000], [0.453, 0.453, 0.000], [0.547, 0.547, 0.000], [0.123, 0.623, 0.500], [0.304, 0.304, 0.000], [0.377, 0.877, 0.500], [0.623, 0.123, 0.500], [0.696, 0.696, 0.000], [0.877, 0.377, 0.500]], "volume_a3_per_atom": 32.82}

---

The least stable of them is model b.

---

Model a:
{"formula": "DyY4Tm3", "functional": "PBE", "state": "relaxed", "lattice_angstrom": [[11.192, 0.000, 0.000], [0.000, 7.242, 0.000], [0.000, 0.000, 6.254]], "species": ["Dy", "Dy", "Y", "Y", "Y", "Y", "Y", "Y", "Y", "Y", "Tm", "Tm", "Tm", "Tm", "Tm", "Tm"], "fractional_positions": [[0.000, 0.122, 0.000], [0.500, 0.878, 0.500], [0.000, 0.372, 0.497], [0.000, 0.627, 0.996], [0.249, 0.627, 0.333], [0.251, 0.373, 0.833], [0.500, 0.373, 0.496], [0.500, 0.628, 0.997], [0.749, 0.373, 0.833], [0.751, 0.627, 0.333], [0.000, 0.877, 0.500], [0.250, 0.123, 0.330], [0.250, 0.877, 0.830], [0.500, 0.123, 0.000], [0.750, 0.123, 0.330], [0.750, 0.877, 0.830]], "volume_a3_per_atom": 31.68}

---

Model b:
{"formula": "DyY4Tm3", "functional": "PBE", "state": "relaxed", "lattice_angstrom": [[2.785, -13.067, 0.000], [2.785, 13.067, 0.000], [0.000, 0.000, 3.555]], "species": ["Dy", "Y", "Y", "Y", "Y", "Tm", "Tm", "Tm"], "fractional_positions": [[0.000, 0.000, 0.000], [0.103, 0.897, 0.500], [0.223, 0.777, 0.500], [0.777, 0.223, 0.500], [0.897, 0.103, 0.500], [0.344, 0.656, 0.000], [0.500, 0.500, 0.500], [0.656, 0.344, 0.000]], "volume_a3_per_atom": 32.35}

---

The least stable of them is model b.

---

Model a:
{"formula": "Dy3YTm5", "functional": "PBE", "state": "relaxed", "lattice_angstrom": [[7.550, -5.601, 0.000], [7.550, 5.601, 0.000], [-6.478, 0.000, 7.531]], "species": ["Dy", "Dy", "Dy", "Dy", "Dy", "Dy", "Y", "Y", "Tm", "Tm", "Tm", "Tm", "Tm", "Tm", "Tm", "Tm", "Tm", "Tm"], "fractional_positions": [[0.000, 0.000, 0.000], [0.011, 0.011, 0.310], [0.478, 0.478, 0.134], [0.500, 0.500, 0.500], [0.522, 0.522, 0.866], [0.989, 0.989, 0.690], [0.250, 0.250, 0.101], [0.750, 0.750, 0.899], [0.096, 0.598, 0.749], [0.218, 0.218, 0.727], [0.238, 0.762, 0.500], [0.278, 0.278, 0.465], [0.402, 0.904, 0.251], [0.598, 0.096, 0.749], [0.722, 0.722, 0.535], [0.762, 0.238, 0.500], [0.782, 0.782, 0.273], [0.904, 0.402, 0.251]], "volume_a3_per_atom": 35.39}

---

Model b:
{"formula": "Dy3YTm5", "functional": "PBE", "state": "relaxed", "lattice_angstrom": [[7.432, -4.817, 0.000], [7.432, 4.817, 0.000], [-4.320, 0.000, 7.723]], "species": ["Dy", "Dy", "Dy", "Dy", "Dy", "Dy", "Y", "Y", "Tm", "Tm", "Tm", "Tm", "Tm", "Tm", "Tm", "Tm", "Tm", "Tm"], "fractional_positions": [[0.000, 0.500, 0.000], [0.164, 0.669, 0.833], [0.331, 0.836, 0.667], [0.500, 0.000, 0.500], [0.669, 0.164, 0.333], [0.836, 0.331, 0.167], [0.418, 0.582, 0.250], [0.582, 0.418, 0.750], [0.082, 0.251, 0.583], [0.083, 0.917, 0.250], [0.248, 0.415, 0.415], [0.251, 0.082, 0.083], [0.415, 0.248, 0.915], [0.585, 0.752, 0.085], [0.749, 0.918, 0.917], [0.752, 0.585, 0.585], [0.917, 0.083, 0.750], [0.918, 0.749, 0.417]], "volume_a3_per_atom": 30.72}

---

The least stable of them is model a.

---

Model a:
{"formula": "Dy7Y12Tm", "functional": "PBE", "state": "relaxed", "lattice_angstrom": [[6.409, 3.700, 4.555], [-6.409, 3.700, 4.555], [0.000, -7.401, 4.555]], "species": ["Dy", "Dy", "Dy", "Dy", "Dy", "Dy", "Dy", "Y", "Y", "Y", "Y", "Y", "Y", "Y", "Y", "Y", "Y", "Y", "Y", "Tm"], "fractional_positions": [[0.000, 0.000, 0.000], [0.146, 0.414, 0.476], [0.414, 0.476, 0.146], [0.476, 0.146, 0.414], [0.524, 0.854, 0.586], [0.586, 0.524, 0.854], [0.854, 0.586, 0.524], [0.017, 0.081, 0.350], [0.081, 0.350, 0.017], [0.190, 0.749, 0.318], [0.251, 0.682, 0.810], [0.318, 0.190, 0.749], [0.350, 0.017, 0.081], [0.650, 0.983, 0.919], [0.682, 0.810, 0.251], [0.749, 0.318, 0.190], [0.810, 0.251, 0.682], [0.919, 0.650, 0.983], [0.983, 0.919, 0.650], [0.500, 0.500, 0.500]], "volume_a3_per_atom": 32.41}

---

Model b:
{"formula": "Dy7Y12Tm", "functional": "PBE", "state": "relaxed", "lattice_angstrom": [[9.307, 5.374, 2.233], [-9.307, 5.374, 2.233], [0.000, -10.747, 2.233]], "species": ["Dy", "Dy", "Dy", "Dy", "Dy", "Dy", "Dy", "Y", "Y", "Y", "Y", "Y", "Y", "Y", "Y", "Y", "Y", "Y", "Y", "Tm"], "fractional_positions": [[0.000, 0.000, 0.000], [0.136, 0.437, 0.301], [0.301, 0.136, 0.437], [0.437, 0.301, 0.136], [0.563, 0.699, 0.864], [0.699, 0.864, 0.563], [0.864, 0.563, 0.699], [0.005, 0.795, 0.585], [0.205, 0.415, 0.995], [0.232, 0.755, 0.300], [0.245, 0.700, 0.768], [0.300, 0.232, 0.755], [0.415, 0.995, 0.205], [0.585, 0.005, 0.795], [0.700, 0.768, 0.245], [0.755, 0.300, 0.232], [0.768, 0.245, 0.700], [0.795, 0.585, 0.005], [0.995, 0.205, 0.415], [0.500, 0.500, 0.500]], "volume_a3_per_atom": 33.51}

---

The least stable of them is model b.

---

Model a:
{"formula": "Dy2Y5Tm", "functional": "PBE", "state": "relaxed", "lattice_angstrom": [[6.626, 0.000, 0.000], [3.311, 8.190, 0.000], [0.754, -0.013, 9.483]], "species": ["Dy", "Dy", "Dy", "Dy", "Y", "Y", "Y", "Y", "Y", "Y", "Y", "Y", "Y", "Y", "Tm", "Tm"], "fractional_positions": [[0.127, 0.106, 0.076], [0.233, 0.894, 0.575], [0.767, 0.106, 0.425], [0.873, 0.894, 0.924], [0.156, 0.688, 0.250], [0.200, 0.245, 0.388], [0.203, 0.493, 0.912], [0.304, 0.493, 0.589], [0.446, 0.755, 0.887], [0.554, 0.245, 0.113], [0.696, 0.507, 0.411], [0.797, 0.507, 0.088], [0.800, 0.755, 0.612], [0.844, 0.312, 0.750], [0.438, 0.125, 0.750], [0.562, 0.875, 0.250]], "volume_a3_per_atom": 32.16}

---

Model b:
{"formula": "Dy2Y5Tm", "functional": "PBE", "state": "relaxed", "lattice_angstrom": [[7.110, 0.000, 0.000], [0.000, 14.221, 0.000], [0.000, 0.000, 5.015]], "species": ["Dy", "Dy", "Dy", "Dy", "Y", "Y", "Y", "Y", "Y", "Y", "Y", "Y", "Y", "Y", "Tm", "Tm"], "fractional_positions": [[0.249, 0.124, 0.000], [0.251, 0.624, 0.000], [0.749, 0.376, 0.000], [0.751, 0.876, 0.000], [0.000, 0.249, 0.500], [0.000, 0.500, 0.500], [0.000, 0.751, 0.500], [0.250, 0.375, 0.000], [0.250, 0.875, 0.000], [0.500, 0.000, 0.500], [0.500, 0.251, 0.500], [0.500, 0.749, 0.500], [0.750, 0.125, 0.000], [0.750, 0.625, 0.000], [0.000, 0.000, 0.500], [0.500, 0.500, 0.500]], "volume_a3_per_atom": 31.69}

---

The least stable of them is model a.